A geometry-optimized DyZn4Ni structure, computed with PBE.

Cell lengths 3.917, 6.732, 7.608 Å; angles 90.00, 90.00, 90.00 degrees
Element x y z (fractional)
1 Zn 0.500 0.046 0.250
2 Zn 0.500 0.305 0.943
3 Zn 0.500 0.954 0.750
4 Zn 0.500 0.695 0.057
5 Zn 0.500 0.695 0.443
6 Zn 0.000 0.000 0.000
7 Zn 0.500 0.305 0.557
8 Zn 0.000 0.000 0.500
9 Ni 0.000 0.790 0.250
10 Ni 0.000 0.210 0.750
11 Dy 0.000 0.608 0.750
12 Dy 0.000 0.392 0.250

Properties
D(E_F) ... 7.5 states/eV per cell
Uncorrected energy ... -2.8923 eV/atom
Energy above the lowest structure with this stoichiometry ... 0 meV per atom
Energy of formation from the pure elements ... -0.312 eV/atom
Total magnetization ... 0.000 μB/f.u.
SG ... Pmma (51)